# PBE K6Al3H14, relaxed
data_K6Al3H14
_chemical_formula_sum 'K6 Al3 H14'
_cell_length_a 9.5896
_cell_length_b 9.5896
_cell_length_c 4.9200
_cell_angle_alpha 90.00
_cell_angle_beta 90.00
_cell_angle_gamma 120.00
_space_group_name_H-M_alt 'P 3'
_space_group_IT_number 143
_space_group_name_Hall 'P 3'
loop_
_atom_site_label
_atom_site_type_symbol
_atom_site_fract_x
_atom_site_fract_y
_atom_site_fract_z
_atom_site_occupancy
K1 K 0.0136 0.5836 0.0000 1
K2 K 0.3179 0.0813 0.5300 1
Al1 Al 0.0000 0.0000 0.9841 1
Al2 Al 0.3333 0.6667 0.4618 1
Al3 Al 0.6667 0.3333 0.2698 1
H1 H 0.0000 0.0000 0.3178 1
H2 H 0.0676 0.8842 0.8675 1
H3 H 0.2198 0.4819 0.3504 1
H4 H 0.3333 0.6667 0.7964 1
H5 H 0.4880 0.2044 0.0701 1
H6 H 0.5374 0.3829 0.4690 1
# DFT total energy: -2.99 eV/atom